(1)
This record from the Alexandria database describes HfCo2Ir2 after structural relaxation. The functional is GGA-PBE.

Unit cell a=3.4457 b=3.4457 c=6.9174 alpha=75.58 beta=75.58 gamma=90.00
Sites, in units of the cell vectors:
1 Hf 0.0000 0.0000 0.0000
2 Co 0.7500 0.2500 0.5000
3 Ir 0.6051 0.6051 0.7899
4 Ir 0.3949 0.3949 0.2101
5 Co 0.2500 0.7500 0.5000

## Properties
* total DFT energy (no corrections): -8.5249 eV/atom
* space group: I4/mmm, No. 139
* Fermi-level density of states: 7.0 states/eV/cell
* total moment: 3.90 μB/cell

---

(2)
This record from the Alexandria database describes LiTi5Ga6 after structural relaxation. The functional is GGA-PBE.

Unit cell a=3.9665 b=7.8656 c=7.4393 alpha=121.91 beta=105.44 gamma=90.02
Sites, in units of the cell vectors:
1 Ga 0.8329 0.0810 0.6655
2 Li 0.0000 0.0000 0.0000
3 Ti 0.0000 0.5000 0.0000
4 Ti 0.3347 0.3346 0.6693
5 Ga 0.5001 0.7532 0.9999
6 Ga 0.4999 0.2468 0.0001
7 Ti 0.6653 0.6654 0.3307
8 Ga 0.8330 0.5844 0.6655
9 Ga 0.1670 0.4156 0.3345
10 Ga 0.1671 0.9190 0.3345
11 Ti 0.3363 0.8365 0.6729
12 Ti 0.6637 0.1635 0.3271

## Properties
* total DFT energy (no corrections): -5.3866 eV/atom
* space group: Immm, No. 71
* Fermi-level density of states: 9.6 states/eV/cell
* total moment: 0.00 μB/cell

---

(3)
This record from the Alexandria database describes AlCo2As after structural relaxation. The functional is GGA-PBE.

Unit cell a=3.1934 b=3.1934 c=4.9972 alpha=90.00 beta=90.00 gamma=90.00
Sites, in units of the cell vectors:
1 As 0.5000 0.5000 0.7915
2 Co 0.0000 0.0000 0.9635
3 Al 0.0000 0.0000 0.4649
4 Co 0.5000 0.5000 0.2800

## Properties
* total DFT energy (no corrections): -5.8323 eV/atom
* space group: P4mm, No. 99
* Fermi-level density of states: 3.5 states/eV/cell
* total moment: 0.63 μB/cell

---

(4)
This record from the Alexandria database describes TaPPb4 after structural relaxation. The functional is GGA-PBE.

Unit cell a=6.1809 b=6.1809 c=6.1809 alpha=60.00 beta=60.00 gamma=60.00
Sites, in units of the cell vectors:
1 Pb 0.3754 0.3754 0.3754
2 Pb 0.3754 0.8739 0.3754
3 Pb 0.8739 0.3754 0.3754
4 P 0.0000 0.0000 0.0000
5 Ta 0.7500 0.7500 0.7500
6 Pb 0.3754 0.3754 0.8739

## Properties
* total DFT energy (no corrections): -4.2638 eV/atom
* space group: F-43m, No. 216
* Fermi-level density of states: 4.8 states/eV/cell
* total moment: 0.93 μB/cell

---

(5)
This record from the Alexandria database describes PmPrNd2Ho after structural relaxation. The functional is GGA-PBE.

Unit cell a=6.6685 b=8.4240 c=6.3187 alpha=93.00 beta=90.00 gamma=90.00
Sites, in units of the cell vectors:
1 Ho 0.8373 0.5000 0.2500
2 Pm 0.4314 0.0000 0.7500
3 Nd 0.3076 0.3097 0.2321
4 Ho 0.1627 0.5000 0.7500
5 Pr 0.0000 0.0000 0.5000
6 Pm 0.5686 0.0000 0.2500
7 Nd 0.3076 0.6903 0.2679
8 Nd 0.6924 0.3097 0.7321
9 Pr 0.0000 0.0000 0.0000
10 Nd 0.6924 0.6903 0.7679

## Properties
* total DFT energy (no corrections): -4.4650 eV/atom
* space group: P2/c, No. 13
* Fermi-level density of states: 13.0 states/eV/cell
* total moment: 0.00 μB/cell

---

(6)
This record from the Alexandria database describes NaPmZnSn after structural relaxation. The functional is GGA-PBE.

Unit cell a=5.2395 b=5.2395 c=5.2395 alpha=60.00 beta=60.00 gamma=60.00
Sites, in units of the cell vectors:
1 Sn 0.2500 0.2500 0.2500
2 Zn 0.7500 0.7500 0.7500
3 Na 0.5000 0.5000 0.5000
4 Pm 0.0000 0.0000 0.0000

## Properties
* total DFT energy (no corrections): -3.1635 eV/atom
* space group: F-43m, No. 216
* Fermi-level density of states: 1.4 states/eV/cell
* total moment: 0.00 μB/cell

---

(7)
This record from the Alexandria database describes Al2TcGeI after structural relaxation. The functional is GGA-PBE.

Unit cell a=4.7672 b=5.4732 c=4.7672 alpha=90.00 beta=90.00 gamma=90.00
Sites, in units of the cell vectors:
1 Al 0.0000 0.0000 0.5000
2 I 0.0000 0.5000 0.0000
3 Ge 0.5000 0.5000 0.5000
4 Al 0.5000 0.0000 0.0000
5 Tc 0.0000 0.0000 0.0000

## Properties
* raw formation energy: 71 kJ/mol of atoms
* total DFT energy (no corrections): -4.0647 eV/atom
* space group: P4/mmm, No. 123
* Fermi-level density of states: 3.4 states/eV/cell
* total moment: 0.00 μB/cell

---

(8)
This record from the Alexandria database describes KAlCu4 after structural relaxation. The functional is GGA-PBE.

Unit cell a=5.1529 b=5.1529 c=5.1529 alpha=60.00 beta=60.00 gamma=60.00
Sites, in units of the cell vectors:
1 Al 0.0000 0.0000 0.0000
2 K 0.7500 0.7500 0.7500
3 Cu 0.3734 0.3734 0.8799
4 Cu 0.3734 0.8799 0.3734
5 Cu 0.3734 0.3734 0.3734
6 Cu 0.8799 0.3734 0.3734

## Properties
* total DFT energy (no corrections): -3.2547 eV/atom
* space group: F-43m, No. 216
* Fermi-level density of states: 5.2 states/eV/cell
* total moment: 0.00 μB/cell

---

(9)
This record from the Alexandria database describes Si2OsSeF after structural relaxation. The functional is GGA-PBE.

Unit cell a=4.7057 b=4.0844 c=4.7057 alpha=90.00 beta=90.00 gamma=90.00
Sites, in units of the cell vectors:
1 Si 0.5000 0.0000 0.0000
2 Si 0.0000 0.0000 0.5000
3 F 0.0000 0.5000 0.0000
4 Se 0.5000 0.5000 0.5000
5 Os 0.0000 0.0000 0.0000

## Properties
* raw formation energy: 0 kJ/mol of atoms
* total DFT energy (no corrections): -5.4815 eV/atom
* space group: P4/mmm, No. 123
* Fermi-level density of states: 5.4 states/eV/cell
* total moment: 0.00 μB/cell

---

(10)
This record from the Alexandria database describes KCr2Mo after structural relaxation. The functional is GGA-PBE.

Unit cell a=5.2193 b=5.2193 c=2.8770 alpha=90.00 beta=90.00 gamma=90.00
Sites, in units of the cell vectors:
1 Mo 0.0000 0.5000 0.5000
2 Cr 0.5000 0.5000 0.0000
3 Cr 0.0000 0.0000 0.0000
4 K 0.5000 0.0000 0.5000

## Properties
* total DFT energy (no corrections): -6.3988 eV/atom
* space group: P4/mmm, No. 123
* Fermi-level density of states: 2.9 states/eV/cell
* total moment: 7.17 μB/cell

---

(11)
This record from the Alexandria database describes CeGe2Ru after structural relaxation. The functional is GGA-PBE.

Unit cell a=4.2152 b=4.2152 c=9.6442 alpha=102.62 beta=102.62 gamma=90.00
Sites, in units of the cell vectors:
1 Ru 0.7500 0.2500 0.5000
2 Ge 0.3216 0.3216 0.6432
3 Ge 0.6784 0.6784 0.3568
4 Ce 0.1222 0.1222 0.2444
5 Ru 0.2500 0.7500 0.5000
6 Ge 0.0000 0.5000 0.0000
7 Ge 0.5000 0.0000 0.0000
8 Ce 0.8778 0.8778 0.7556

## Properties
* total DFT energy (no corrections): -6.6630 eV/atom
* space group: I4/mmm, No. 139
* Fermi-level density of states: 7.2 states/eV/cell
* total moment: 0.00 μB/cell

---

(12)
This record from the Alexandria database describes LuAlSn2 after structural relaxation. The functional is GGA-PBE.

Unit cell a=4.4369 b=4.5844 c=4.5844 alpha=90.00 beta=90.00 gamma=90.00
Sites, in units of the cell vectors:
1 Sn 0.0000 0.5000 0.0000
2 Sn 0.0000 0.0000 0.5000
3 Al 0.5000 0.5000 0.5000
4 Lu 0.5000 0.0000 0.0000

## Properties
* total DFT energy (no corrections): -4.3747 eV/atom
* space group: P4/mmm, No. 123
* Fermi-level density of states: 1.7 states/eV/cell
* total moment: 0.00 μB/cell